The following is a PBE calculation of crystalline Ti9Tl2Ga at its relaxed geometry, from the Alexandria database.

```
Ti9Tl2Ga
1.0
4.1290 0.0000 0.0000
0.0000 4.1290 0.0000
0.0000 0.0000 12.3710
Ti Tl Ga
9 2 1
Cartesian
2.0645 2.0645 0.0000
2.0645 2.0645 4.0710
2.0645 2.0645 8.3000
2.0645 0.0000 1.9282
2.0645 0.0000 6.1855
2.0645 0.0000 10.4428
0.0000 2.0645 1.9282
0.0000 2.0645 6.1855
0.0000 2.0645 10.4428
0.0000 0.0000 4.0658
0.0000 0.0000 8.3052
0.0000 0.0000 0.0000
```

Properties
The electronic total energy comes out at -6.65 eV/atom. The calculation puts the density of states at the Fermi level at 14.0 states/eV per cell. As for the space group: No. 123. The formation energy comes out at -85 meV/atom.

---

The following is a PBE calculation of crystalline Ti2TlGa at its relaxed geometry, from the Alexandria database.

```
Ti2TlGa
1.0
3.0972 0.0006 0.0001
1.5492 2.6820 0.0001
1.5488 0.8942 9.1390
Ti Tl Ga
2 1 1
Cartesian
1.5479 0.8937 7.0207
1.5497 0.8947 2.1167
3.0976 1.7884 4.5724
4.6465 2.6826 9.1377
```

Properties
The electronic total energy comes out at -5.30 eV/atom. The calculation puts the density of states at the Fermi level at 3.4 states/eV per cell. As for the space group: No. 160. The energy above the most stable polymorph in this dataset comes out at 0.66 eV per formula unit. The formation energy comes out at -2 meV/atom.

---

The following is a PBE calculation of crystalline Ti2TlGa at its relaxed geometry, from the Alexandria database.

```
Ti2TlGa
1.0
7.3879 0.0000 0.0000
0.0000 7.3879 0.0000
3.6940 3.6940 2.8705
Tl Ga Ti
2 2 4
Cartesian
0.0000 0.0000 0.0000
7.3879 3.6940 1.4353
3.6940 3.6940 0.0000
3.6940 7.3879 1.4353
5.4250 1.8470 0.7176
1.9629 5.5410 0.7176
5.5410 5.6569 2.1529
9.2349 9.1190 2.1529
```

Properties
The electronic total energy comes out at -5.12 eV/atom. The calculation puts the density of states at the Fermi level at 7.6 states/eV per cell. As for the space group: No. 122. The energy above the most stable polymorph in this dataset comes out at 1.37 eV per formula unit. The formation energy comes out at 175 meV/atom.

---

The following is a PBE calculation of crystalline Ti2TlGa at its relaxed geometry, from the Alexandria database.

```
Ti2TlGa
1.0
3.1076 0.0000 0.0000
1.5538 2.6913 0.0000
1.5538 0.8971 9.0452
Tl Ga Ti
1 1 2
Cartesian
3.1076 1.7942 4.5226
0.0000 0.0000 0.0000
1.5538 0.8971 2.1005
4.6614 2.6913 6.9447
```

Properties
The electronic total energy comes out at -5.29 eV/atom. The calculation puts the density of states at the Fermi level at 4.3 states/eV per cell. As for the space group: No. 166. The energy above the most stable polymorph in this dataset comes out at 0.68 eV per formula unit. The formation energy comes out at 3 meV/atom.

---

The following is a PBE calculation of crystalline Ti2TlGa at its relaxed geometry, from the Alexandria database.

```
Ti2TlGa
1.0
-0.7070 -3.2270 -2.4728
4.0635 -0.9118 0.0281
-0.5684 -2.4302 3.3339
Tl Ga Ti
1 1 2
Cartesian
-0.3535 -1.6135 -1.2364
1.3940 -3.2845 0.4446
-0.2842 -1.2151 1.6670
2.0317 -0.4559 0.0141
```

Properties
The electronic total energy comes out at -5.41 eV/atom. The calculation puts the density of states at the Fermi level at 3.6 states/eV per cell. As for the space group: No. 123. The energy above the most stable polymorph in this dataset comes out at 0.21 eV per formula unit. The formation energy comes out at -114 meV/atom.

---

The following is a PBE calculation of crystalline TiTl3Ga at its relaxed geometry, from the Alexandria database.

```
TiTl3Ga
1.0
5.3149 0.0000 0.0000
0.0000 5.3149 0.0000
0.0000 0.0000 5.3149
Tl Ga Ti
3 1 1
Cartesian
0.0000 2.6575 0.0000
0.0000 0.0000 2.6575
2.6575 0.0000 0.0000
0.0000 0.0000 0.0000
2.6575 2.6575 2.6575
```

Properties
The electronic total energy comes out at -2.76 eV/atom. The calculation puts the density of states at the Fermi level at 8.4 states/eV per cell. As for the space group: No. 221. The energy above the most stable polymorph in this dataset comes out at 1.83 eV per formula unit. The formation energy comes out at 847 meV/atom.

---

The following is a PBE calculation of crystalline Tm3TiGa12 at its relaxed geometry, from the Alexandria database.

```
Tm3TiGa12
1.0
4.1745 0.0000 0.0000
0.0000 4.1745 0.0000
0.0000 0.0000 16.7347
Tm Ti Ga
3 1 12
Cartesian
0.0000 0.0000 4.0443
0.0000 0.0000 8.3673
0.0000 0.0000 12.6903
0.0000 0.0000 0.0000
2.0873 2.0873 0.0000
2.0873 2.0873 4.1329
2.0873 2.0873 8.3673
2.0873 2.0873 12.6017
2.0873 0.0000 1.9313
2.0873 0.0000 6.2209
2.0873 0.0000 10.5138
2.0873 0.0000 14.8034
0.0000 2.0873 1.9313
0.0000 2.0873 6.2209
0.0000 2.0873 10.5138
0.0000 2.0873 14.8034
```

Properties
The electronic total energy comes out at -4.07 eV/atom. The calculation puts the density of states at the Fermi level at 6.3 states/eV per cell. As for the space group: No. 123. The formation energy comes out at -463 meV/atom.

---

The following is a PBE calculation of crystalline TmTiGa2 at its relaxed geometry, from the Alexandria database.

```
TmTiGa2
1.0
3.4421 0.0000 0.0000
0.0000 3.4421 0.0000
0.0000 0.0000 6.3727
Tm Ga Ti
1 2 1
Cartesian
1.7210 1.7210 3.1864
0.0000 0.0000 5.0110
0.0000 0.0000 1.3618
1.7210 1.7210 0.0000
```

Properties
The electronic total energy comes out at -5.03 eV/atom. The calculation puts the density of states at the Fermi level at 2.1 states/eV per cell. As for the space group: No. 123. The energy above the most stable polymorph in this dataset comes out at 0.00 eV per formula unit. The formation energy comes out at -427 meV/atom.